No. 1
Density functional theory data (GGA-PBEsol) for an optimized crystal structure of Tb2InHg.

Output
SG = Fm-3m
energy of formation from the pure elements = -0.541 eV/atom
density = 10.4 g/cm3
uncorrected energy = -3.93 eV per atom

a = 5.223 Å, b = 5.223 Å, c = 5.223 Å
α = 60.00°, β = 60.00°, γ = 60.00°
Fractional coordinates of all 4 atoms:
Tb 0.750 0.750 0.750
Tb 0.250 0.250 0.250
Hg 0.000 0.000 0.000
In 0.500 0.500 0.500

No. 2
Density functional theory data (GGA-PBEsol) for an optimized crystal structure of SmCu6.

Output
SG = Pnma
energy of formation from the pure elements = -0.135 eV/atom
density = 9.1 g/cm3
uncorrected energy = -4.58 eV per atom

a = 4.957 Å, b = 7.921 Å, c = 9.912 Å
α = 90.00°, β = 90.00°, γ = 90.00°
Fractional coordinates of all 28 atoms:
Sm 0.250 0.259 0.436
Sm 0.750 0.741 0.564
Sm 0.250 0.759 0.064
Sm 0.750 0.241 0.936
Cu 0.250 0.147 0.144
Cu 0.750 0.853 0.856
Cu 0.250 0.647 0.356
Cu 0.750 0.353 0.644
Cu 0.250 0.817 0.756
Cu 0.750 0.183 0.244
Cu 0.250 0.317 0.744
Cu 0.750 0.683 0.256
Cu 0.250 0.562 0.594
Cu 0.750 0.438 0.406
Cu 0.250 0.062 0.906
Cu 0.750 0.938 0.094
Cu 0.250 0.902 0.517
Cu 0.750 0.098 0.483
Cu 0.250 0.402 0.983
Cu 0.750 0.598 0.017
Cu 0.005 0.435 0.192
Cu 0.505 0.565 0.808
Cu 0.495 0.935 0.308
Cu 0.995 0.065 0.692
Cu 0.995 0.565 0.808
Cu 0.495 0.435 0.192
Cu 0.505 0.065 0.692
Cu 0.005 0.935 0.308

No. 3
Density functional theory data (GGA-PBEsol) for an optimized crystal structure of Zn2SeO.

Output
SG = I-42d
E_form (uncorrected) = -966.8 meV/atom
density = 5.7 g/cm3
uncorrected energy = -4.03 eV per atom

a = 5.088 Å, b = 5.088 Å, c = 6.196 Å
α = 114.24°, β = 114.24°, γ = 90.00°
Fractional coordinates of all 8 atoms:
Zn 0.802 0.375 0.250
Zn 0.448 0.875 0.250
Zn 0.625 0.552 0.750
Zn 0.125 0.198 0.750
O 0.750 0.250 0.500
O 0.500 0.500 0.000
Se 0.250 0.750 0.500
Se 0.000 0.000 0.000

No. 4
Density functional theory data (GGA-PBEsol) for an optimized crystal structure of BaSr2Si.

Output
SG = I-4m2
E_form (uncorrected) = 10.0 meV/atom
density = 4.1 g/cm3
uncorrected energy = -2.88 eV per atom

a = 5.150 Å, b = 5.150 Å, c = 6.303 Å
α = 114.11°, β = 114.11°, γ = 90.00°
Fractional coordinates of all 4 atoms:
Ba 0.500 0.500 0.000
Si 0.250 0.750 0.500
Sr 0.000 0.000 0.000
Sr 0.750 0.250 0.500

Q: What is the formula in the second record?
A: SmCu6

Q: Look up the uncorrected energy of the third one.
A: -4.03 eV per atom

Repeat the fourth record exactly.
Density functional theory data (GGA-PBEsol) for an optimized crystal structure of BaSr2Si.

Output
SG = I-4m2
E_form (uncorrected) = 10.0 meV/atom
density = 4.1 g/cm3
uncorrected energy = -2.88 eV per atom

a = 5.150 Å, b = 5.150 Å, c = 6.303 Å
α = 114.11°, β = 114.11°, γ = 90.00°
Fractional coordinates of all 4 atoms:
Ba 0.500 0.500 0.000
Si 0.250 0.750 0.500
Sr 0.000 0.000 0.000
Sr 0.750 0.250 0.500

Q: Which value of uncorrected energy does entry 3 give?
A: -4.03 eV per atom